Record 1
{
  "formula": "Ba3AcTb2Te6",
  "functional": "PBE-GGA",
  "state": "optimized geometry",
  "lattice_angstrom": [[4.051, -7.007, 0.000], [4.051, 7.007, 0.000], [-2.708, 0.000, 7.880]],
  "species": ["Ba", "Ba", "Ba", "Ac", "Tb", "Tb", "Te", "Te", "Te", "Te", "Te", "Te"],
  "frac_coords": [[0.000, 0.000, 0.000], [0.339, 0.661, 0.000], [0.661, 0.339, 0.000], [0.500, 0.500, 0.500], [0.168, 0.832, 0.500], [0.832, 0.168, 0.500], [0.077, 0.425, 0.276], [0.224, 0.224, 0.719], [0.425, 0.077, 0.276], [0.575, 0.923, 0.724], [0.776, 0.776, 0.281], [0.923, 0.575, 0.724]],
  "raw_formation_energy_ev_per_atom": -1.556,
  "crystal_system": "monoclinic",
  "sg": "C2/m, No. 12"
}



Record 2
{
  "formula": "CeFeRu2",
  "functional": "PBE-GGA",
  "state": "optimized geometry",
  "lattice_angstrom": [[4.481, 0.000, 0.000], [0.000, 4.481, 0.000], [0.000, 0.000, 3.331]],
  "species": ["Ce", "Fe", "Ru", "Ru"],
  "frac_coords": [[0.000, 0.000, 0.000], [0.500, 0.500, 0.000], [0.000, 0.500, 0.500], [0.500, 0.000, 0.500]],
  "ef_kcal_per_mol_atoms": 0.34,
  "crystal_system": "tetragonal",
  "sg": "P4/mmm, No. 123"
}



Record 3
{
  "formula": "In5Cu3",
  "functional": "PBE-GGA",
  "state": "optimized geometry",
  "lattice_angstrom": [[7.918, 0.000, 0.000], [-3.959, 6.857, 0.000], [0.000, 0.000, 6.120]],
  "species": ["In", "In", "In", "In", "In", "In", "In", "In", "In", "In", "Cu", "Cu", "Cu", "Cu", "Cu", "Cu"],
  "frac_coords": [[0.000, 0.246, 0.250], [0.000, 0.754, 0.750], [0.246, 0.000, 0.250], [0.246, 0.246, 0.750], [0.333, 0.667, 0.000], [0.333, 0.667, 0.500], [0.667, 0.333, 0.000], [0.667, 0.333, 0.500], [0.754, 0.000, 0.750], [0.754, 0.754, 0.250], [0.000, 0.397, 0.750], [0.000, 0.603, 0.250], [0.397, 0.000, 0.750], [0.397, 0.397, 0.250], [0.603, 0.000, 0.250], [0.603, 0.603, 0.750]],
  "de_polymorph_ev_per_atom": 0.000,
  "ef_kcal_per_mol_atoms": 3.00,
  "crystal_system": "hexagonal",
  "sg": "P6_3/mcm, No. 193"
}



Record 4
{
  "formula": "Er3Tm2PuSe6",
  "functional": "PBE-GGA",
  "state": "optimized geometry",
  "lattice_angstrom": [[8.827, -2.012, 0.000], [8.827, 2.012, 0.000], [-1.876, 0.000, 7.908]],
  "species": ["Er", "Er", "Er", "Tm", "Tm", "Pu", "Se", "Se", "Se", "Se", "Se", "Se"],
  "frac_coords": [[0.000, 0.000, 0.000], [0.336, 0.336, 0.664], [0.664, 0.664, 0.336], [0.337, 0.337, 0.173], [0.663, 0.663, 0.827], [0.000, 0.000, 0.500], [0.169, 0.169, 0.082], [0.170, 0.170, 0.587], [0.500, 0.500, 0.244], [0.500, 0.500, 0.756], [0.830, 0.830, 0.413], [0.831, 0.831, 0.918]],
  "raw_formation_energy_ev_per_atom": -1.679,
  "crystal_system": "monoclinic",
  "sg": "C2/m, No. 12"
}



Record 5
{
  "formula": "Zr2FeAs",
  "functional": "PBE-GGA",
  "state": "optimized geometry",
  "lattice_angstrom": [[-3.536, 3.536, 2.984], [3.536, -3.536, 2.984], [3.536, 3.536, -2.984]],
  "species": ["Zr", "Zr", "Zr", "Zr", "Fe", "Fe", "As", "As"],
  "frac_coords": [[0.099, 0.625, 0.974], [0.375, 0.349, 0.474], [0.651, 0.125, 0.026], [0.875, 0.901, 0.526], [0.000, 0.000, 0.000], [0.750, 0.250, 0.500], [0.250, 0.750, 0.500], [0.500, 0.500, 0.000]],
  "ef_kcal_per_mol_atoms": -2.23,
  "crystal_system": "tetragonal",
  "sg": "I-42d, No. 122"
}



Record 6
{
  "formula": "ZrCd2Pt5",
  "functional": "PBE-GGA",
  "state": "optimized geometry",
  "lattice_angstrom": [[-2.058, 2.058, 8.090], [2.058, -2.058, 8.090], [2.058, 2.058, -8.090]],
  "species": ["Zr", "Cd", "Cd", "Pt", "Pt", "Pt", "Pt", "Pt"],
  "frac_coords": [[0.000, 0.000, 0.000], [0.254, 0.254, 0.000], [0.746, 0.746, 0.000], [0.122, 0.622, 0.500], [0.378, 0.878, 0.500], [0.500, 0.500, 0.000], [0.622, 0.122, 0.500], [0.878, 0.378, 0.500]],
  "ef_kcal_per_mol_atoms": -15.12,
  "crystal_system": "tetragonal",
  "sg": "I4/mmm, No. 139"
}



Record 7
{
  "formula": "LiNb3P",
  "functional": "PBE-GGA",
  "state": "optimized geometry",
  "lattice_angstrom": [[4.666, 0.000, 0.000], [0.000, 4.666, 0.000], [0.000, 0.000, 4.666]],
  "species": ["Li", "Nb", "Nb", "Nb", "P"],
  "frac_coords": [[0.000, 0.000, 0.000], [0.000, 0.500, 0.500], [0.500, 0.000, 0.500], [0.500, 0.500, 0.000], [0.500, 0.500, 0.500]],
  "de_polymorph_ev_per_atom": 0.000,
  "ef_kcal_per_mol_atoms": 8.42,
  "crystal_system": "cubic",
  "sg": "Pm-3m, No. 221"
}



Record 8
{
  "formula": "CdNiPt3",
  "functional": "PBE-GGA",
  "state": "optimized geometry",
  "lattice_angstrom": [[4.594, 0.000, 0.000], [0.000, 4.594, 0.000], [0.000, 0.000, 4.594]],
  "species": ["Cd", "Ni", "Pt", "Pt", "Pt"],
  "frac_coords": [[0.000, 0.000, 0.000], [0.500, 0.500, 0.500], [0.000, 0.500, 0.500], [0.500, 0.000, 0.500], [0.500, 0.500, 0.000]],
  "de_polymorph_ev_per_atom": 0.755,
  "ef_kcal_per_mol_atoms": 15.92,
  "crystal_system": "cubic",
  "sg": "Pm-3m, No. 221"
}



In the order shown, the computed size of the total moment values come out to 0.00; 4.08; 0.00; 6.05; 0.00; 0.00; 0.00; 1.12 μB/f.u..
In the order shown, the computed calculated volume values come out to 447; 67; 166; 281; 75; 137; 102; 97 Å³/f.u..